# 1
{
  "formula": "ScCuMo2",
  "functional": "PBE-GGA",
  "state": "relaxed",
  "cell": [[-3.968, 7.440, 4.426], [-5.246, 7.717, 1.900], [-6.336, 5.970, 3.862]],
  "species": ["Cu", "Mo", "Mo", "Sc"],
  "frac_coords": [[0.750, 0.750, 0.750], [0.495, 0.495, 0.495], [0.005, 0.005, 0.005], [0.250, 0.250, 0.250]],
  "volume_a3_per_cell": 65.7,
  "polymorph_energy_mev_per_atom": 410,
  "density_kg_m3": 7591,
  "n_ef_per_ev_cell": 5.28,
  "magnetic_moment_mub_per_fu": 0.0,
  "e_form_ev_per_atom": 0.449,
  "energy_ev_per_atom": -7.57
}

***

# 2
{
  "formula": "LaMg6Cu2",
  "functional": "PBE-GGA",
  "state": "relaxed",
  "cell": [[-0.621, 3.312, -2.690], [0.384, -2.664, -3.368], [-10.519, -1.794, 0.219]],
  "species": ["Mg", "Mg", "Cu", "Mg", "Mg", "Cu", "La", "Mg", "Mg"],
  "frac_coords": [[0.500, 0.000, 0.274], [0.500, 0.000, 0.726], [0.500, 0.500, 0.116], [0.500, 0.500, 0.500], [0.000, 0.000, 0.500], [0.500, 0.500, 0.884], [0.000, 0.000, 0.000], [0.000, 0.500, 0.274], [0.000, 0.500, 0.726]],
  "volume_a3_per_cell": 198.4,
  "density_kg_m3": 3447,
  "n_ef_per_ev_cell": 7.48,
  "magnetic_moment_mub_per_fu": 0.0,
  "e_form_ev_per_atom": -0.093,
  "energy_ev_per_atom": -2.61
}

***

# 3
{
  "formula": "Dy3Y2Sc3",
  "functional": "PBE-GGA",
  "state": "relaxed",
  "cell": [[-1.596, 2.735, 1.440], [-1.914, -3.468, 4.466], [7.490, 2.014, 8.678]],
  "species": ["Dy", "Dy", "Y", "Y", "Sc", "Sc", "Dy", "Sc"],
  "frac_coords": [[0.500, 0.500, 0.000], [0.622, 0.963, 0.756], [0.253, 0.256, 0.494], [0.747, 0.744, 0.506], [0.000, 0.000, 0.000], [0.877, 0.543, 0.246], [0.378, 0.037, 0.244], [0.123, 0.457, 0.754]],
  "volume_a3_per_cell": 231.2,
  "polymorph_energy_mev_per_atom": 0,
  "density_kg_m3": 5747,
  "n_ef_per_ev_cell": 12.45,
  "magnetic_moment_mub_per_fu": 0.0,
  "e_form_ev_per_atom": 0.033,
  "energy_ev_per_atom": -5.68
}

***

# 4
{
  "formula": "TbHSe",
  "functional": "PBE-GGA",
  "state": "relaxed",
  "cell": [[-0.298, -2.941, -2.665], [5.938, -0.953, 0.435], [-0.044, -4.801, 2.410]],
  "species": ["H", "H", "Se", "Tb", "Tb", "Se"],
  "frac_coords": [[0.840, 0.077, 0.816], [0.160, 0.923, 0.184], [0.619, 0.288, 0.273], [0.321, 0.232, 0.859], [0.679, 0.768, 0.141], [0.381, 0.712, 0.727]],
  "volume_a3_per_cell": 118.3,
  "density_kg_m3": 6709,
  "n_ef_per_ev_cell": 0.00,
  "magnetic_moment_mub_per_fu": 0.0,
  "energy_ev_per_atom": -5.08
}

***

# 5
{
  "formula": "LiAcH3",
  "functional": "PBE-GGA",
  "state": "relaxed",
  "cell": [[-2.234, -2.340, -2.198], [2.437, -2.979, 0.695], [-2.090, -0.973, 3.160]],
  "species": ["H", "H", "Li", "Ac", "H"],
  "frac_coords": [[0.500, 0.000, 0.000], [0.000, 0.500, 0.000], [0.000, 0.000, 0.000], [0.500, 0.500, 0.500], [0.000, 0.000, 0.500]],
  "volume_a3_per_cell": 59.8,
  "polymorph_energy_mev_per_atom": 63,
  "density_kg_m3": 6575,
  "n_ef_per_ev_cell": 1.56,
  "magnetic_moment_mub_per_fu": 0.5,
  "energy_ev_per_atom": -3.61
}

***

# 6
{
  "formula": "LiTaV3",
  "functional": "PBE-GGA",
  "state": "relaxed",
  "cell": [[-1.436, 3.906, -0.248], [-3.913, -1.424, 0.217], [0.118, 0.308, 4.156]],
  "species": ["V", "Ta", "V", "Li", "V"],
  "frac_coords": [[0.500, 0.000, 0.000], [0.500, 0.500, 0.500], [0.000, 0.000, 0.500], [0.000, 0.000, 0.000], [0.000, 0.500, 0.000]],
  "volume_a3_per_cell": 72.5,
  "polymorph_energy_mev_per_atom": 0,
  "density_kg_m3": 7806,
  "n_ef_per_ev_cell": 5.37,
  "magnetic_moment_mub_per_fu": 0.0,
  "e_form_ev_per_atom": 1.065,
  "energy_ev_per_atom": -7.16
}

***

# 7
{
  "formula": "AcPm2YHo5",
  "functional": "PBE-GGA",
  "state": "relaxed",
  "cell": [[8.873, 0.000, 0.000], [0.000, 8.873, 0.000], [-4.436, -4.436, 7.729]],
  "species": ["Ho", "Pm", "Ho", "Ho", "Ho", "Ho", "Ho", "Pm", "Y", "Ho", "Pm", "Y", "Ho", "Pm", "Ho", "Ac", "Ac", "Ho"],
  "frac_coords": [[0.838, 0.925, 0.263], [0.384, 0.884, 0.000], [0.925, 0.425, 0.263], [0.425, 0.338, 0.263], [0.000, 0.000, 0.000], [0.075, 0.575, 0.737], [0.162, 0.075, 0.737], [0.116, 0.384, 0.000], [0.750, 0.250, 0.500], [0.500, 0.500, 0.000], [0.616, 0.116, 0.000], [0.250, 0.750, 0.500], [0.338, 0.838, 0.263], [0.884, 0.616, 0.000], [0.575, 0.662, 0.737], [0.250, 0.250, 0.500], [0.750, 0.750, 0.500], [0.662, 0.162, 0.737]],
  "volume_a3_per_cell": 608.5,
  "density_kg_m3": 7808,
  "n_ef_per_ev_cell": 19.76,
  "magnetic_moment_mub_per_fu": 0.0,
  "e_form_ev_per_atom": 0.259,
  "energy_ev_per_atom": -4.51
}

***

# 8
{
  "formula": "PaMnSnRu",
  "functional": "PBE-GGA",
  "state": "relaxed",
  "cell": [[4.671, 0.000, 0.000], [2.336, 4.045, 0.000], [2.336, 1.348, 3.814]],
  "species": ["Sn", "Ru", "Mn", "Pa"],
  "frac_coords": [[0.250, 0.250, 0.250], [0.000, 0.000, 0.000], [0.500, 0.500, 0.500], [0.750, 0.750, 0.750]],
  "volume_a3_per_cell": 72.1,
  "density_kg_m3": 11652,
  "n_ef_per_ev_cell": 1.53,
  "magnetic_moment_mub_per_fu": 0.0,
  "e_form_ev_per_atom": -0.187,
  "energy_ev_per_atom": -8.17
}

***

# 9
{
  "formula": "Ba4La3TbTe8",
  "functional": "PBE-GGA",
  "state": "relaxed",
  "cell": [[9.392, 0.000, 0.000], [0.000, 9.585, 0.129], [-4.696, -4.691, 6.643]],
  "species": ["Te", "Te", "La", "Te", "Te", "Te", "Ba", "Ba", "Ba", "La", "Te", "La", "Te", "Ba", "Tb", "Te"],
  "frac_coords": [[0.237, 0.724, 0.986], [0.251, 0.276, 0.014], [0.000, 0.500, 0.500], [0.749, 0.724, 0.986], [0.743, 0.729, 0.486], [0.257, 0.271, 0.514], [0.500, 0.000, 0.000], [0.500, 0.000, 0.500], [0.000, 0.000, 0.500], [0.500, 0.500, 0.500], [0.763, 0.276, 0.014], [0.500, 0.500, 0.000], [0.237, 0.724, 0.474], [0.000, 0.000, 0.000], [0.000, 0.500, 0.000], [0.763, 0.276, 0.526]],
  "volume_a3_per_cell": 603.7,
  "density_kg_m3": 5902,
  "n_ef_per_ev_cell": 7.36,
  "e_form_raw_ev_per_fu": -26.0,
  "magnetic_moment_mub_per_fu": 0.0,
  "energy_ev_per_atom": -4.89
}

***

# 10
{
  "formula": "LiTi2As",
  "functional": "PBE-GGA",
  "state": "relaxed",
  "cell": [[-6.387, 2.982, 1.332], [-2.535, -6.371, 2.108], [-3.721, -1.190, 4.135]],
  "species": ["Ti", "As", "Ti", "Ti", "Li", "As", "Ti", "Li"],
  "frac_coords": [[0.641, 0.125, 0.250], [0.000, 0.000, 0.000], [0.875, 0.891, 0.750], [0.375, 0.359, 0.750], [0.500, 0.500, 0.000], [0.750, 0.250, 0.500], [0.109, 0.625, 0.250], [0.250, 0.750, 0.500]],
  "volume_a3_per_cell": 132.6,
  "density_kg_m3": 4449,
  "n_ef_per_ev_cell": 7.72,
  "magnetic_moment_mub_per_fu": 0.0,
  "e_form_ev_per_atom": -0.072,
  "energy_ev_per_atom": -5.66
}

***

# 11
{
  "formula": "Ca2NiAuSe",
  "functional": "PBE-GGA",
  "state": "relaxed",
  "cell": [[5.473, 0.000, 0.000], [0.000, 4.947, 0.000], [0.000, 0.000, 5.473]],
  "species": ["Ca", "Ni", "Au", "Se", "Ca"],
  "frac_coords": [[0.000, 0.000, 0.500], [0.500, 0.500, 0.500], [0.000, 0.500, 0.000], [0.000, 0.000, 0.000], [0.500, 0.000, 0.000]],
  "volume_a3_per_cell": 148.2,
  "density_kg_m3": 4647,
  "n_ef_per_ev_cell": 3.92,
  "e_form_raw_ev_per_fu": -0.4,
  "magnetic_moment_mub_per_fu": 0.1,
  "energy_ev_per_atom": -3.38
}

***

# 12
{
  "formula": "NpAlSn2",
  "functional": "PBE-GGA",
  "state": "relaxed",
  "cell": [[5.075, 0.000, 0.000], [2.537, 4.395, 0.000], [2.537, 1.465, 7.418]],
  "species": ["Sn", "Al", "Np", "Sn"],
  "frac_coords": [[0.118, 0.118, 0.646], [0.000, 0.000, 0.000], [0.500, 0.500, 0.500], [0.882, 0.882, 0.354]],
  "volume_a3_per_cell": 165.4,
  "polymorph_energy_mev_per_atom": 986,
  "density_kg_m3": 5033,
  "n_ef_per_ev_cell": 11.09,
  "magnetic_moment_mub_per_fu": 4.1,
  "e_form_ev_per_atom": 0.870,
  "energy_ev_per_atom": -5.30
}

***

# 13
{
  "formula": "SrFe2Br",
  "functional": "PBE-GGA",
  "state": "relaxed",
  "cell": [[-1.149, 2.135, 2.567], [-1.456, -3.575, 2.322], [5.188, -0.393, 2.648]],
  "species": ["Sr", "Fe", "Br", "Fe"],
  "frac_coords": [[0.500, 0.000, 0.500], [0.000, 0.000, 0.000], [0.000, 0.500, 0.500], [0.500, 0.500, 0.000]],
  "volume_a3_per_cell": 92.9,
  "polymorph_energy_mev_per_atom": 347,
  "density_kg_m3": 4992,
  "n_ef_per_ev_cell": 5.15,
  "e_form_raw_ev_per_fu": 1.5,
  "magnetic_moment_mub_per_fu": 5.7,
  "energy_ev_per_atom": -4.68
}

***

# 14
{
  "formula": "ZnCdSnHg",
  "functional": "PBE-GGA",
  "state": "relaxed",
  "cell": [[5.088, 0.000, 0.000], [2.544, 4.406, 0.000], [2.544, 1.469, 4.154]],
  "species": ["Hg", "Sn", "Cd", "Zn"],
  "frac_coords": [[0.500, 0.500, 0.500], [0.000, 0.000, 0.000], [0.750, 0.750, 0.750], [0.250, 0.250, 0.250]],
  "volume_a3_per_cell": 93.1,
  "density_kg_m3": 8865,
  "n_ef_per_ev_cell": 2.28,
  "magnetic_moment_mub_per_fu": 0.0,
  "e_form_ev_per_atom": 0.154,
  "energy_ev_per_atom": -1.47
}

***

# 15
{
  "formula": "TbHfZr",
  "functional": "PBE-GGA",
  "state": "relaxed",
  "cell": [[-0.086, -1.113, -3.120], [2.826, -0.630, -1.613], [0.771, -8.114, 1.113]],
  "species": ["Hf", "Tb", "Zr"],
  "frac_coords": [[0.546, 0.546, 0.362], [0.327, 0.327, 0.018], [0.112, 0.112, 0.664]],
  "volume_a3_per_cell": 76.1,
  "polymorph_energy_mev_per_atom": 0,
  "density_kg_m3": 9353,
  "n_ef_per_ev_cell": 3.83,
  "magnetic_moment_mub_per_fu": 0.0,
  "e_form_ev_per_atom": 0.109,
  "energy_ev_per_atom": -7.60
}

***

# 16
{
  "formula": "CsK2MgGe",
  "functional": "PBE-GGA",
  "state": "relaxed",
  "cell": [[-3.068, -6.064, 0.513], [3.587, -1.338, 5.639], [-3.812, 2.178, 2.941]],
  "species": ["Ge", "K", "Mg", "K", "Cs"],
  "frac_coords": [[0.000, 0.000, 0.000], [0.500, 0.000, 0.000], [0.000, 0.000, 0.500], [0.000, 0.500, 0.000], [0.500, 0.500, 0.500]],
  "volume_a3_per_cell": 245.4,
  "density_kg_m3": 2084,
  "n_ef_per_ev_cell": 2.53,
  "magnetic_moment_mub_per_fu": 0.2,
  "e_form_ev_per_atom": 0.054,
  "energy_ev_per_atom": -1.80
}

***

# 17
{
  "formula": "SbS2N2",
  "functional": "PBE-GGA",
  "state": "relaxed",
  "cell": [[3.946, 0.000, 0.000], [0.000, 3.946, 0.000], [0.000, 0.000, 5.577]],
  "species": ["N", "N", "S", "Sb", "S"],
  "frac_coords": [[0.500, 0.000, 0.000], [0.000, 0.500, 0.000], [0.000, 0.000, 0.500], [0.000, 0.000, 0.000], [0.500, 0.500, 0.500]],
  "volume_a3_per_cell": 86.9,
  "polymorph_energy_mev_per_atom": 1620,
  "density_kg_m3": 4090,
  "n_ef_per_ev_cell": 4.04,
  "e_form_raw_ev_per_fu": 7.8,
  "magnetic_moment_mub_per_fu": 2.1,
  "energy_ev_per_atom": -4.24
}

***

# 18
{
  "formula": "Cs2AcTcO6",
  "functional": "PBE-GGA",
  "state": "relaxed",
  "cell": [[-1.582, -5.910, -1.274], [1.071, -1.677, 6.452], [-6.115, 2.064, -1.981]],
  "species": ["Ac", "O", "Cs", "O", "O", "O", "Tc", "O", "Cs", "O"],
  "frac_coords": [[0.500, 0.000, 0.000], [0.813, 0.740, 0.870], [0.105, 0.333, 0.667], [0.813, 0.130, 0.870], [0.187, 0.870, 0.740], [0.187, 0.260, 0.130], [0.000, 0.000, 0.000], [0.187, 0.870, 0.130], [0.895, 0.667, 0.333], [0.813, 0.130, 0.260]],
  "volume_a3_per_cell": 246.7,
  "density_kg_m3": 4623,
  "e_form_raw_ev_per_fu": -18.7,
  "magnetic_moment_mub_per_fu": 0.0,
  "energy_ev_per_atom": -6.47
}

***

# 19
{
  "formula": "CoNiHPt2",
  "functional": "PBE-GGA",
  "state": "relaxed",
  "cell": [[-0.554, -3.886, -0.334], [0.879, -0.453, 3.813], [-3.558, 0.433, 0.871]],
  "species": ["Pt", "Pt", "Co", "H", "Ni"],
  "frac_coords": [[0.000, 0.500, 0.000], [0.500, 0.000, 0.000], [0.500, 0.500, 0.500], [0.000, 0.000, 0.000], [0.000, 0.000, 0.500]],
  "volume_a3_per_cell": 57.2,
  "polymorph_energy_mev_per_atom": 0,
  "density_kg_m3": 14758,
  "n_ef_per_ev_cell": 6.44,
  "magnetic_moment_mub_per_fu": 3.3,
  "energy_ev_per_atom": -5.63
}

***

# 20
{
  "formula": "KRuRh2",
  "functional": "PBE-GGA",
  "state": "relaxed",
  "cell": [[-2.087, 2.798, -4.748], [-4.773, -1.825, -2.936], [2.750, 2.089, 4.775]],
  "species": ["Ru", "K", "Rh", "Rh"],
  "frac_coords": [[0.534, 0.534, 0.000], [0.252, 0.752, 0.500], [0.970, 0.970, 0.000], [0.743, 0.243, 0.500]],
  "volume_a3_per_cell": 70.1,
  "polymorph_energy_mev_per_atom": 335,
  "density_kg_m3": 8198,
  "n_ef_per_ev_cell": 4.72,
  "magnetic_moment_mub_per_fu": 0.0,
  "e_form_ev_per_atom": 0.769,
  "energy_ev_per_atom": -5.50
}

***

# 21
{
  "formula": "NaTaNO2",
  "functional": "PBE-GGA",
  "state": "relaxed",
  "cell": [[-1.809, 3.566, -0.107], [-0.588, -0.416, -3.934], [-3.600, -1.804, 0.729]],
  "species": ["Ta", "Na", "N", "O", "O"],
  "frac_coords": [[0.000, 0.000, 0.000], [0.500, 0.500, 0.500], [0.000, 0.000, 0.500], [0.500, 0.000, 0.000], [0.000, 0.500, 0.000]],
  "volume_a3_per_cell": 65.5,
  "density_kg_m3": 6340,
  "n_ef_per_ev_cell": 2.50,
  "e_form_raw_ev_per_fu": -8.2,
  "magnetic_moment_mub_per_fu": 1.0,
  "energy_ev_per_atom": -7.91
}

***

# 22
{
  "formula": "La5FeGe3",
  "functional": "PBE-GGA",
  "state": "relaxed",
  "cell": [[-8.644, -0.420, 2.731], [4.741, -7.637, -1.243], [2.123, 0.218, 6.755]],
  "species": ["Ge", "La", "Ge", "La", "La", "La", "La", "Fe", "La", "Ge", "Fe", "Ge", "Ge", "La", "La", "Ge", "La", "La"],
  "frac_coords": [[0.405, 0.405, 0.250], [0.242, 0.242, 0.750], [0.405, 0.000, 0.750], [0.758, 0.000, 0.750], [0.667, 0.333, 0.500], [0.333, 0.667, 0.000], [0.758, 0.758, 0.250], [0.000, 0.000, 0.000], [0.333, 0.667, 0.500], [0.000, 0.595, 0.250], [0.000, 0.000, 0.500], [0.595, 0.000, 0.250], [0.000, 0.405, 0.750], [0.000, 0.242, 0.250], [0.667, 0.333, 0.000], [0.595, 0.595, 0.750], [0.000, 0.758, 0.750], [0.242, 0.000, 0.250]],
  "volume_a3_per_cell": 505.2,
  "density_kg_m3": 6366,
  "n_ef_per_ev_cell": 14.24,
  "magnetic_moment_mub_per_fu": 0.9,
  "e_form_ev_per_atom": -0.488,
  "energy_ev_per_atom": -5.70
}

***

# 23
{
  "formula": "Cs3GeAsSe5",
  "functional": "PBE-GGA",
  "state": "relaxed",
  "cell": [[-0.008, 0.280, 9.840], [5.820, -5.514, 0.162], [16.792, 11.281, -0.307]],
  "species": ["Se", "Cs", "Cs", "As", "Se", "As", "Se", "Cs", "Se", "Cs", "Se", "Se", "Cs", "Ge", "Se", "Se", "As", "Ge", "Cs", "Cs", "Se", "Ge", "Se", "Ge", "Cs", "Se", "Se", "Se", "Cs", "Cs", "Se", "Se", "Se", "Se", "Cs", "Se", "Cs", "Se", "Se", "As"],
  "frac_coords": [[0.540, 0.262, 0.931], [0.291, 0.081, 0.543], [0.791, 0.919, 0.957], [0.960, 0.673, 0.199], [0.598, 0.495, 0.426], [0.040, 0.327, 0.801], [0.607, 0.941, 0.635], [0.209, 0.081, 0.043], [0.960, 0.262, 0.431], [0.938, 0.845, 0.736], [0.402, 0.505, 0.574], [0.388, 0.285, 0.187], [0.288, 0.618, 0.915], [0.792, 0.435, 0.370], [0.393, 0.059, 0.365], [0.792, 0.306, 0.777], [0.540, 0.673, 0.699], [0.208, 0.565, 0.630], [0.788, 0.382, 0.585], [0.438, 0.155, 0.764], [0.612, 0.715, 0.813], [0.708, 0.435, 0.870], [0.098, 0.505, 0.074], [0.292, 0.565, 0.130], [0.712, 0.382, 0.085], [0.208, 0.694, 0.223], [0.040, 0.738, 0.569], [0.708, 0.306, 0.277], [0.062, 0.155, 0.264], [0.212, 0.618, 0.415], [0.292, 0.694, 0.723], [0.893, 0.941, 0.135], [0.902, 0.495, 0.926], [0.112, 0.285, 0.687], [0.562, 0.845, 0.236], [0.888, 0.715, 0.313], [0.709, 0.919, 0.457], [0.107, 0.059, 0.865], [0.460, 0.738, 0.069], [0.460, 0.327, 0.301]],
  "volume_a3_per_cell": 1558.4,
  "density_kg_m3": 4011,
  "n_ef_per_ev_cell": 0.00,
  "e_form_raw_ev_per_fu": -8.1,
  "magnetic_moment_mub_per_fu": 0.0,
  "energy_ev_per_atom": -3.74
}

***

# 24
{
  "formula": "SmDyTmIn",
  "functional": "PBE-GGA",
  "state": "relaxed",
  "cell": [[-4.288, -2.154, -0.827], [0.147, -1.986, 4.406], [-2.298, 3.874, 1.823]],
  "species": ["In", "Dy", "Sm", "Tm"],
  "frac_coords": [[0.000, 0.000, 0.000], [0.500, 0.500, 0.000], [0.500, 0.000, 0.500], [0.000, 0.500, 0.500]],
  "volume_a3_per_cell": 114.4,
  "polymorph_energy_mev_per_atom": 0,
  "density_kg_m3": 8659,
  "n_ef_per_ev_cell": 5.89,
  "magnetic_moment_mub_per_fu": 0.0,
  "e_form_ev_per_atom": -0.263,
  "energy_ev_per_atom": -4.40
}